one) Below is an optimized crystal structure of FeAgGe2, with properties calculated at the PBE-GGA level.

Unit cell a=2.951 b=2.951 c=8.832 alpha=80.38 beta=80.38 gamma=60.00
Each line ends with the local moment (μB).
Element x y z (fractional)
Ge (0.100, 0.100, 0.701)  -0.04
Ge (0.900, 0.900, 0.299)  -0.04
Fe (0.500, 0.500, 0.500)  0.65
Ag (0.000, 0.000, 0.000)  -0.02

**DOS at the Fermi energy**: 1.59 states/eV/cell



two) Below is an optimized crystal structure of FeAgGe2, with properties calculated at the PBE-GGA level.

Unit cell a=4.533 b=4.533 c=4.533 alpha=60.00 beta=60.00 gamma=60.00
Each line ends with the local moment (μB).
Element x y z (fractional)
Ge (0.250, 0.250, 0.250)  -0.01
Ge (0.750, 0.750, 0.750)  -0.01
Fe (0.000, 0.000, 0.000)  2.55
Ag (0.500, 0.500, 0.500)  0.04

**DOS at the Fermi energy**: 2.66 states/eV/cell



three) Below is an optimized crystal structure of FeAgGe2, with properties calculated at the PBE-GGA level.

Unit cell a=4.098 b=4.098 c=8.866 alpha=76.64 beta=76.64 gamma=90.00
Each line ends with the local moment (μB).
Element x y z (fractional)
Ge (0.584, 0.125, 0.250)  -0.03
Ge (0.166, 0.625, 0.250)  -0.03
Ge (0.375, 0.416, 0.750)  -0.03
Ge (0.875, 0.834, 0.750)  -0.03
Fe (0.500, 0.500, 0.000)  2.44
Fe (0.250, 0.750, 0.500)  2.44
Ag (0.000, 0.000, 0.000)  0.01
Ag (0.750, 0.250, 0.500)  0.01

**DOS at the Fermi energy**: 6.36 states/eV/cell



On energetic grounds, one) is preferred over the next structure by 227 meV per atom.